# ZrVIn2 GGA-PBE optimized geometry
data_ZrVIn2
_chemical_formula_sum 'Zr4 V4 In8'
_cell_length_a 7.705
_cell_length_b 7.705
_cell_length_c 5.846
_cell_angle_alpha 90.00
_cell_angle_beta 90.00
_cell_angle_gamma 90.00
_space_group_name_H-M_alt 'I -4 2 d'
_space_group_IT_number 122
_space_group_name_Hall 'I -4 2bw'
loop_
_atom_site_label
_atom_site_fract_x
_atom_site_fract_y
_atom_site_fract_z
Zr1 0.000 0.000 0.000
V1 0.000 0.000 0.500
In1 0.226 0.250 0.625
# energy above the most stable polymorph in this dataset	354	meV/atom
# formation enthalpy at 0 K	0.34	eV/atom
# N(E_F)	3.4	states/eV/f.u.